No. 1
# DyMgSc4S8 | Alexandria via LeMat-Bulk | PBE | relaxed
# Theoretical density, g/cm3: 3.257
# VASP energy, eV/atom: -6.43
# Magnetic moment, μB per formula unit: 0.000
data_DyMgSc4S8
_chemical_formula_sum 'Dy3 Mg3 Sc12 S24'
_cell_length_a 7.6145
_cell_length_b 7.6145
_cell_length_c 18.9807
_cell_angle_alpha 90.00
_cell_angle_beta 90.00
_cell_angle_gamma 120.00
_space_group_name_H-M_alt 'R 3 m'
_space_group_IT_number 160
_space_group_name_Hall 'R 3 -2"'
loop_
_atom_site_label
_atom_site_type_symbol
_atom_site_fract_x
_atom_site_fract_y
_atom_site_fract_z
Dy1 Dy 0.0000 0.0000 0.0000
Mg1 Mg 0.0000 0.0000 0.3726
Sc1 Sc 0.0000 0.0000 0.6256
Sc2 Sc 0.1700 0.3400 0.8311
S1 S 0.0000 0.0000 0.2415
S2 S 0.0000 0.0000 0.7570
S3 S 0.0120 0.5060 0.7546
S4 S 0.1725 0.3450 0.5755

---

No. 2
# Dy4MgScS8 | Alexandria via LeMat-Bulk | PBE | relaxed
# Theoretical density, g/cm3: 4.653
# VASP energy, eV/atom: -6.13
# Magnetic moment, μB per formula unit: 0.000
data_Dy4MgScS8
_chemical_formula_sum 'Dy12 Mg3 Sc3 S24'
_cell_length_a 7.9429
_cell_length_b 7.9429
_cell_length_c 19.1198
_cell_angle_alpha 90.00
_cell_angle_beta 90.00
_cell_angle_gamma 120.00
_space_group_name_H-M_alt 'R 3 m'
_space_group_IT_number 160
_space_group_name_Hall 'R 3 -2"'
loop_
_atom_site_label
_atom_site_type_symbol
_atom_site_fract_x
_atom_site_fract_y
_atom_site_fract_z
Dy1 Dy 0.0000 0.0000 0.0000
Dy2 Dy 0.0066 0.5033 0.1231
Mg1 Mg 0.0000 0.0000 0.2466
Sc1 Sc 0.0000 0.0000 0.6188
S1 S 0.0000 0.0000 0.3761
S2 S 0.0000 0.0000 0.8650
S3 S 0.0304 0.5152 0.3713
S4 S 0.1746 0.3491 0.2072

---

No. 3
# Dy3MgSc3S8 | Alexandria via LeMat-Bulk | PBE | relaxed
# Theoretical density, g/cm3: 4.889
# VASP energy, eV/atom: -6.41
# Magnetic moment, μB per formula unit: 0.000
data_Dy3MgSc3S8
_chemical_formula_sum 'Dy9 Mg3 Sc9 S24'
_cell_length_a 7.5431
_cell_length_b 7.5431
_cell_length_c 18.6777
_cell_angle_alpha 90.00
_cell_angle_beta 90.00
_cell_angle_gamma 120.00
_space_group_name_H-M_alt 'R -3 m'
_space_group_IT_number 166
_space_group_name_Hall '-R 3 2"'
loop_
_atom_site_label
_atom_site_type_symbol
_atom_site_fract_x
_atom_site_fract_y
_atom_site_fract_z
Dy1 Dy 0.0000 0.5000 0.0000
Mg1 Mg 0.0000 0.0000 0.5000
Sc1 Sc 0.0000 0.5000 0.5000
S1 S 0.0000 0.0000 0.2448
S2 S 0.0004 0.5002 0.2449

---

No. 4
# SmDy4MgS8 | Alexandria via LeMat-Bulk | PBE | relaxed
# Theoretical density, g/cm3: 4.947
# VASP energy, eV/atom: -6.04
# Magnetic moment, μB per formula unit: 0.000
data_SmDy4MgS8
_chemical_formula_sum 'Sm3 Dy12 Mg3 S24'
_cell_length_a 7.9959
_cell_length_b 7.9959
_cell_length_c 19.6646
_cell_angle_alpha 90.00
_cell_angle_beta 90.00
_cell_angle_gamma 120.00
_space_group_name_H-M_alt 'R 3 m'
_space_group_IT_number 160
_space_group_name_Hall 'R 3 -2"'
loop_
_atom_site_label
_atom_site_type_symbol
_atom_site_fract_x
_atom_site_fract_y
_atom_site_fract_z
Sm1 Sm 0.0000 0.0000 0.0000
Dy1 Dy 0.0000 0.0000 0.3771
Dy2 Dy 0.0073 0.5036 0.5034
Mg1 Mg 0.0000 0.0000 0.6272
S1 S 0.0000 0.0000 0.2439
S2 S 0.0000 0.0000 0.7562
S3 S 0.0183 0.5092 0.7571
S4 S 0.1701 0.3402 0.5829

---

No. 5
# TbDy4MgS8 | Alexandria via LeMat-Bulk | PBE | relaxed
# Theoretical density, g/cm3: 5.036
# VASP energy, eV/atom: -6.04
# Magnetic moment, μB per formula unit: 0.000
data_TbDy4MgS8
_chemical_formula_sum 'Tb3 Dy12 Mg3 S24'
_cell_length_a 7.9783
_cell_length_b 7.9783
_cell_length_c 19.5558
_cell_angle_alpha 90.00
_cell_angle_beta 90.00
_cell_angle_gamma 120.00
_space_group_name_H-M_alt 'R 3 m'
_space_group_IT_number 160
_space_group_name_Hall 'R 3 -2"'
loop_
_atom_site_label
_atom_site_type_symbol
_atom_site_fract_x
_atom_site_fract_y
_atom_site_fract_z
Tb1 Tb 0.0000 0.0000 0.0000
Dy1 Dy 0.0000 0.0000 0.6224
Dy2 Dy 0.1703 0.3405 0.8298
Mg1 Mg 0.0000 0.0000 0.3724
S1 S 0.0000 0.0000 0.2436
S2 S 0.0000 0.0000 0.7557
S3 S 0.0093 0.5046 0.7489
S4 S 0.1774 0.3549 0.5775

---

No. 6
# DyMgTiS4 | Alexandria via LeMat-Bulk | PBE | relaxed
# Theoretical density, g/cm3: 3.863
# VASP energy, eV/atom: -5.95
# Magnetic moment, μB per formula unit: 0.994
data_DyMgTiS4
_chemical_formula_sum 'Dy4 Mg4 Ti4 S16'
_cell_length_a 7.436
_cell_length_b 7.757
_cell_length_c 10.818
_cell_angle_alpha 90.00
_cell_angle_beta 90.00
_cell_angle_gamma 90.00
_space_group_name_H-M_alt 'I m m a'
_space_group_IT_number 74
_space_group_name_Hall '-I 2b 2'
loop_
_atom_site_label
_atom_site_type_symbol
_atom_site_fract_x
_atom_site_fract_y
_atom_site_fract_z
Dy1 Dy 0.000 0.000 0.000
Mg1 Mg 0.000 0.250 0.372
Ti1 Ti 0.250 0.250 0.750
S1 S 0.000 0.025 0.748
S2 S 0.250 0.250 0.519

---

No. 7
# Dy3Mg2TiS8 | Alexandria via LeMat-Bulk | PBE | relaxed
# Theoretical density, g/cm3: 4.220
# VASP energy, eV/atom: -5.86
# Magnetic moment, μB per formula unit: 1.007
data_Dy3Mg2TiS8
_chemical_formula_sum 'Dy9 Mg6 Ti3 S24'
_cell_length_a 7.8184
_cell_length_b 7.8184
_cell_length_c 18.7423
_cell_angle_alpha 90.00
_cell_angle_beta 90.00
_cell_angle_gamma 120.00
_space_group_name_H-M_alt 'R -3 m'
_space_group_IT_number 166
_space_group_name_Hall '-R 3 2"'
loop_
_atom_site_label
_atom_site_type_symbol
_atom_site_fract_x
_atom_site_fract_y
_atom_site_fract_z
Dy1 Dy 0.0000 0.5000 0.0000
Mg1 Mg 0.0000 0.0000 0.1247
Ti1 Ti 0.0000 0.0000 0.5000
S1 S 0.0000 0.0000 0.2546
S2 S 0.0236 0.5118 0.2450

---

No. 8
# DyTm4MgS8 | Alexandria via LeMat-Bulk | PBE | relaxed
# Theoretical density, g/cm3: 5.344
# VASP energy, eV/atom: -6.00
# Magnetic moment, μB per formula unit: 0.000
data_DyTm4MgS8
_chemical_formula_sum 'Dy3 Tm12 Mg3 S24'
_cell_length_a 7.8882
_cell_length_b 7.8882
_cell_length_c 19.3593
_cell_angle_alpha 90.00
_cell_angle_beta 90.00
_cell_angle_gamma 120.00
_space_group_name_H-M_alt 'R 3 m'
_space_group_IT_number 160
_space_group_name_Hall 'R 3 -2"'
loop_
_atom_site_label
_atom_site_type_symbol
_atom_site_fract_x
_atom_site_fract_y
_atom_site_fract_z
Dy1 Dy 0.0000 0.0000 0.0000
Tm1 Tm 0.0000 0.0000 0.6227
Tm2 Tm 0.1703 0.3405 0.8299
Mg1 Mg 0.0000 0.0000 0.3726
S1 S 0.0000 0.0000 0.2429
S2 S 0.0000 0.0000 0.7559
S3 S 0.0104 0.5052 0.7500
S4 S 0.1765 0.3531 0.5769

---

No. 9
# Dy3Tm3MgS8 | Alexandria via LeMat-Bulk | PBE | relaxed
# Theoretical density, g/cm3: 6.524
# VASP energy, eV/atom: -6.09
# Magnetic moment, μB per formula unit: 0.000
data_Dy3Tm3MgS8
_chemical_formula_sum 'Dy9 Tm9 Mg3 S24'
_cell_length_a 7.6995
_cell_length_b 7.6995
_cell_length_c 18.9645
_cell_angle_alpha 90.00
_cell_angle_beta 90.00
_cell_angle_gamma 120.00
_space_group_name_H-M_alt 'R -3 m'
_space_group_IT_number 166
_space_group_name_Hall '-R 3 2"'
loop_
_atom_site_label
_atom_site_type_symbol
_atom_site_fract_x
_atom_site_fract_y
_atom_site_fract_z
Dy1 Dy 0.0000 0.5000 0.0000
Tm1 Tm 0.0000 0.5000 0.5000
Mg1 Mg 0.0000 0.0000 0.5000
S1 S 0.0000 0.0000 0.2481
S2 S 0.0079 0.5040 0.2462

---

No. 10
# DyTmMgS4 | Alexandria via LeMat-Bulk | PBE | relaxed
# Theoretical density, g/cm3: 4.680
# VASP energy, eV/atom: -5.78
# Magnetic moment, μB per formula unit: 0.000
data_DyTmMgS4
_chemical_formula_sum 'Dy4 Tm4 Mg4 S16'
_cell_length_a 7.845
_cell_length_b 7.876
_cell_length_c 11.119
_cell_angle_alpha 90.00
_cell_angle_beta 90.00
_cell_angle_gamma 90.00
_space_group_name_H-M_alt 'I m m a'
_space_group_IT_number 74
_space_group_name_Hall '-I 2b 2'
loop_
_atom_site_label
_atom_site_type_symbol
_atom_site_fract_x
_atom_site_fract_y
_atom_site_fract_z
Dy1 Dy 0.000 0.000 0.000
Tm1 Tm 0.250 0.250 0.250
Mg1 Mg 0.000 0.250 0.625
S1 S 0.000 0.012 0.246
S2 S 0.242 0.250 0.007

---

No. 11
# DyMg2W3S8 | Alexandria via LeMat-Bulk | PBE | relaxed
# Theoretical density, g/cm3: 5.834
# Polymorph energy (0 for the lowest one), meV/atom: 213
# Magnetic moment, μB per formula unit: 2.593
data_DyMg2W3S8
_chemical_formula_sum 'Dy2 Mg4 W6 S16'
_cell_length_a 12.240
_cell_length_b 7.604
_cell_length_c 7.518
_cell_angle_alpha 90.00
_cell_angle_beta 123.99
_cell_angle_gamma 90.00
_space_group_name_H-M_alt 'C 1 2/m 1'
_space_group_IT_number 12
loop_
_space_group_symop_operation_xyz
'x,y,z'
'-x,-y,-z'
'-x,y,-z'
'x,-y,z'
'x+1/2,y+1/2,z'
'-x+1/2,-y+1/2,-z'
'-x+1/2,y+1/2,-z'
'x+1/2,-y+1/2,z'
loop_
_atom_site_label
_atom_site_type_symbol
_atom_site_fract_x
_atom_site_fract_y
_atom_site_fract_z
Dy1 Dy 0.000 0.000 0.000
Mg1 Mg 0.125 0.500 0.882
W1 W 0.000 0.000 0.500
W2 W 0.250 0.250 0.500
S1 S 0.006 0.235 0.274
S2 S 0.238 0.500 0.701
S3 S 0.248 0.000 0.720

---

No. 12
# DyMgWS4 | Alexandria via LeMat-Bulk | PBE | relaxed
# Theoretical density, g/cm3: 5.322
# VASP energy, eV/atom: -6.20
# Magnetic moment, μB per formula unit: 2.659
data_DyMgWS4
_chemical_formula_sum 'Dy4 Mg4 W4 S16'
_cell_length_a 7.655
_cell_length_b 7.723
_cell_length_c 10.533
_cell_angle_alpha 90.00
_cell_angle_beta 90.00
_cell_angle_gamma 90.00
_space_group_name_H-M_alt 'I m m a'
_space_group_IT_number 74
_space_group_name_Hall '-I 2b 2'
loop_
_atom_site_label
_atom_site_type_symbol
_atom_site_fract_x
_atom_site_fract_y
_atom_site_fract_z
Dy1 Dy 0.000 0.000 0.000
Mg1 Mg 0.000 0.250 0.375
W1 W 0.250 0.250 0.750
S1 S 0.000 0.035 0.741
S2 S 0.245 0.250 0.987